Entry from the Alexandria database: a geometry-optimized TlNiOs2 structure (GGA-PBE).

The structure in CIF format:
```
data_TlNiOs2
_cell_length_a 2.858
_cell_length_b 4.589
_cell_length_c 4.776
_cell_angle_alpha 90.00
_cell_angle_beta 90.00
_cell_angle_gamma 90.00
_symmetry_space_group_name_H-M 'P m m m'
_symmetry_Int_Tables_number 47
loop_
_symmetry_equiv_pos_as_xyz
'x,y,z'
'-x,-y,-z'
'-x,-y,z'
'x,y,-z'
'x,-y,-z'
'-x,y,z'
'-x,y,-z'
'x,-y,z'
loop_
_atom_site_label
_atom_site_fract_x
_atom_site_fract_y
_atom_site_fract_z
Tl1 0.000 0.000 0.000
Ni1 0.500 0.500 0.000
Os1 0.000 0.500 0.500
Os2 0.500 0.000 0.500
```

Output
The value obtained for the spin magnetization is 0.0 μB per formula unit. The value obtained for the total energy is -6.816 eV/atom. The energy of formation comes out at 3.3 eV/f.u. Its energy above the lowest structure with this stoichiometry is 1.47 eV/f.u.

Entry from the Alexandria database: a geometry-optimized YSnPS2 structure (GGA-PBE).

The structure in CIF format:
```
data_YSnPS2
_cell_length_a 5.187
_cell_length_b 5.187
_cell_length_c 5.288
_cell_angle_alpha 90.00
_cell_angle_beta 90.00
_cell_angle_gamma 90.00
_symmetry_space_group_name_H-M 'P 4/m m m'
_symmetry_Int_Tables_number 123
_symmetry_space_group_name_Hall '-P 4 2'
loop_
_atom_site_label
_atom_site_fract_x
_atom_site_fract_y
_atom_site_fract_z
Y1 0.000 0.000 0.000
Sn1 0.500 0.500 0.500
P1 0.000 0.000 0.500
S1 0.000 0.500 0.000
```

Output
The value obtained for the spin magnetization is 0.0 μB per formula unit. The value obtained for the total energy is -5.008 eV/atom. The energy relative to the elements, uncorrected comes out at -0.182 eV per atom. Its energy above the lowest structure with this stoichiometry is 0.07 eV/f.u.

Entry from the Alexandria database: a geometry-optimized SrMnPb3 structure (GGA-PBE).

The structure in CIF format:
```
data_SrMnPb3
_cell_length_a 5.247
_cell_length_b 5.247
_cell_length_c 5.247
_cell_angle_alpha 90.00
_cell_angle_beta 90.00
_cell_angle_gamma 90.00
_symmetry_space_group_name_H-M 'P m -3 m'
_symmetry_Int_Tables_number 221
_symmetry_space_group_name_Hall '-P 4 2 3'
loop_
_atom_site_label
_atom_site_fract_x
_atom_site_fract_y
_atom_site_fract_z
Sr1 0.000 0.000 0.000
Mn1 0.500 0.500 0.500
Pb1 0.000 0.500 0.500
```

Output
The value obtained for the spin magnetization is 0.0 μB per formula unit. The value obtained for the total energy is -4.235 eV/atom. The energy of formation comes out at 0.8 eV/f.u. Its energy above the lowest structure with this stoichiometry is 0.00 eV/f.u.